No. 1
# HfZnRhAu

A relaxed structure of HfZnRhAu (GGA-PBE, Alexandria via LeMat-Bulk).

Summary:
* DFT total energy: -6.036 eV/atom
* mass density: 13.7 g cm⁻³
* calculated volume: 16.45 A^3/atom

a b c (Å): 4.0912 4.0912 7.8607
angles (deg): 90.00 90.00 90.00
Space group I-4m2 (No. 119)
Asymmetric unit:
Hf: 0.0000 0.0000 0.0000
Zn: 0.0000 0.0000 0.5000
Rh: 0.0000 0.5000 0.7500
Au: 0.0000 0.5000 0.2500

=====

No. 2
# Hf3RuAu

A relaxed structure of Hf3RuAu (GGA-PBE, Alexandria via LeMat-Bulk).

Summary:
* energy above the most stable polymorph in this dataset: 0.818 eV per atom
* mass density: 11.0 g cm⁻³
* calculated volume: 25.28 A^3/atom

a b c (Å): 5.0184 5.0184 5.0184
angles (deg): 90.00 90.00 90.00
Space group Pm-3m (No. 221)
Asymmetric unit:
Hf: 0.0000 0.0000 0.5000
Ru: 0.5000 0.5000 0.5000
Au: 0.0000 0.0000 0.0000

=====

No. 3
# HfRu3Au

A relaxed structure of HfRu3Au (GGA-PBE, Alexandria via LeMat-Bulk).

Summary:
* energy above the most stable polymorph in this dataset: 0.000 eV per atom
* mass density: 10.6 g cm⁻³
* calculated volume: 21.34 A^3/atom

a b c (Å): 4.7434 4.7434 4.7434
angles (deg): 90.00 90.00 90.00
Space group Pm-3m (No. 221)
Asymmetric unit:
Hf: 0.0000 0.0000 0.0000
Ru: 0.0000 0.0000 0.5000
Au: 0.5000 0.5000 0.5000

=====

No. 4
# Hf3RuAu

A relaxed structure of Hf3RuAu (GGA-PBE, Alexandria via LeMat-Bulk).

Summary:
* energy above the most stable polymorph in this dataset: 0.000 eV per atom
* mass density: 11.6 g cm⁻³
* calculated volume: 23.91 A^3/atom

a b c (Å): 4.9265 4.9265 4.9265
angles (deg): 90.00 90.00 90.00
Space group Pm-3m (No. 221)
Asymmetric unit:
Hf: 0.0000 0.0000 0.5000
Ru: 0.0000 0.0000 0.0000
Au: 0.5000 0.5000 0.5000

=====

No. 5
# HfRuAu

A relaxed structure of HfRuAu (GGA-PBE, Alexandria via LeMat-Bulk).

Summary:
* DFT total energy: -7.743 eV/atom
* mass density: 14.6 g cm⁻³
* calculated volume: 18.13 A^3/atom

a b c (Å): 3.1983 5.4793 12.4127
angles (deg): 90.00 90.00 90.00
Space group Immm (No. 71)
Asymmetric unit:
Hf: 0.0000 0.0000 0.1847
Ru: 0.0000 0.5000 0.1493
Au: 0.0000 0.2559 0.5000

=====

No. 6
# Hf2RuAu6

A relaxed structure of Hf2RuAu6 (GGA-PBE, Alexandria via LeMat-Bulk).

Summary:
* DFT total energy: -5.818 eV/atom
* mass density: 16.9 g cm⁻³
* calculated volume: 17.95 A^3/atom

a b c (Å): 13.1323 3.8915 6.7750
angles (deg): 90.00 111.09 90.00
Space group C2/m (No. 12)
Asymmetric unit:
Hf: 0.0546 0.0000 0.2986
Ru: 0.0000 0.5000 0.0000
Au: 0.1036 0.5000 0.6617
Au: 0.1645 0.0000 0.0006
Au: 0.2222 0.5000 0.3365

=====

No. 7
# HfRu3Au

A relaxed structure of HfRu3Au (GGA-PBE, Alexandria via LeMat-Bulk).

Summary:
* energy above the most stable polymorph in this dataset: 0.259 eV per atom
* mass density: 10.3 g cm⁻³
* calculated volume: 21.82 A^3/atom

a b c (Å): 4.7784 4.7784 4.7784
angles (deg): 90.00 90.00 90.00
Space group Pm-3m (No. 221)
Asymmetric unit:
Hf: 0.0000 0.0000 0.0000
Ru: 0.0000 0.5000 0.5000
Au: 0.5000 0.5000 0.5000

=====

No. 8
# Hf5Ru4Au

A relaxed structure of Hf5Ru4Au (GGA-PBE, Alexandria via LeMat-Bulk).

Summary:
* DFT total energy: -9.744 eV/atom
* mass density: 14.1 g cm⁻³
* calculated volume: 17.60 A^3/atom

a b c (Å): 3.2301 3.2301 16.8667
angles (deg): 90.00 90.00 90.00
Space group P4/mmm (No. 123)
Asymmetric unit:
Hf: 0.0000 0.0000 0.0000
Hf: 0.0000 0.0000 0.1937
Hf: 0.0000 0.0000 0.3883
Ru: 0.5000 0.5000 0.0966
Ru: 0.5000 0.5000 0.2909
Au: 0.5000 0.5000 0.5000

=====

No. 9
# HfRuAu2S

A relaxed structure of HfRuAu2S (GGA-PBE, Alexandria via LeMat-Bulk).

Summary:
* formation energy without anion corrections: 560 meV per atom
* mass density: 11.9 g cm⁻³
* calculated volume: 19.74 A^3/atom

a b c (Å): 4.5701 4.5701 4.7252
angles (deg): 90.00 90.00 90.00
Space group P4/mmm (No. 123)
Asymmetric unit:
Hf: 0.0000 0.0000 0.0000
Ru: 0.5000 0.5000 0.0000
Au: 0.0000 0.5000 0.5000
S: 0.0000 0.0000 0.5000

=====

No. 10
# HfSiRu2Au

A relaxed structure of HfSiRu2Au (GGA-PBE, Alexandria via LeMat-Bulk).

Summary:
* formation energy without anion corrections: 197 meV per atom
* mass density: 11.3 g cm⁻³
* calculated volume: 17.80 A^3/atom

a b c (Å): 4.4434 4.4434 4.5087
angles (deg): 90.00 90.00 90.00
Space group P4/mmm (No. 123)
Asymmetric unit:
Hf: 0.0000 0.0000 0.0000
Si: 0.5000 0.5000 0.5000
Ru: 0.0000 0.5000 0.5000
Au: 0.5000 0.5000 0.0000

=====

No. 11
# HfTiRu2Au

A relaxed structure of HfTiRu2Au (GGA-PBE, Alexandria via LeMat-Bulk).

Summary:
* DFT total energy: -6.779 eV/atom
* mass density: 9.4 g cm⁻³
* calculated volume: 21.98 A^3/atom

a b c (Å): 4.6788 4.6788 5.0205
angles (deg): 90.00 90.00 90.00
Space group P4/mmm (No. 123)
Asymmetric unit:
Hf: 0.0000 0.0000 0.0000
Ti: 0.5000 0.5000 0.5000
Ru: 0.0000 0.5000 0.0000
Au: 0.0000 0.0000 0.5000

=====

No. 12
# HfAuS

A relaxed structure of HfAuS (GGA-PBE, Alexandria via LeMat-Bulk).

Summary:
* formation energy without anion corrections: -774 meV per atom
* energy above the most stable polymorph in this dataset: 0.129 eV per atom
* mass density: 10.5 g cm⁻³
* calculated volume: 21.50 A^3/atom

a b c (Å): 3.5052 3.5052 24.2485
angles (deg): 90.00 90.00 120.00
Space group P-3m1 (No. 164)
Asymmetric unit:
Hf: 0.3333 0.6667 0.1230
Hf: 0.3333 0.6667 0.6375
Au: 0.3333 0.6667 0.7966
Au: 0.3333 0.6667 0.9556
S: 0.3333 0.6667 0.2954
S: 0.3333 0.6667 0.4254

=====

No. 13
# HfAu2S

A relaxed structure of HfAu2S (GGA-PBE, Alexandria via LeMat-Bulk).

Summary:
* formation energy without anion corrections: -410 meV per atom
* mass density: 13.0 g cm⁻³
* calculated volume: 19.33 A^3/atom

a b c (Å): 7.6734 7.6734 5.2533
angles (deg): 90.00 90.00 90.00
Space group I-42d (No. 122)
Asymmetric unit:
Hf: 0.0000 0.0000 0.0000
Au: 0.2376 0.2500 0.6250
S: 0.0000 0.0000 0.5000

=====

No. 14
# HfAuS

A relaxed structure of HfAuS (GGA-PBE, Alexandria via LeMat-Bulk).

Summary:
* formation energy without anion corrections: -812 meV per atom
* energy above the most stable polymorph in this dataset: 0.090 eV per atom
* mass density: 11.5 g cm⁻³
* calculated volume: 19.59 A^3/atom

a b c (Å): 12.9682 3.3807 5.7066
angles (deg): 90.00 110.01 90.00
Space group Cm (No. 8)
Asymmetric unit:
Hf: 0.0000 0.0000 0.0000
Hf: 0.2434 0.5000 0.8871
Au: 0.0724 0.0000 0.5922
Au: 0.3936 0.0000 0.2874
S: 0.1479 0.5000 0.2074
S: 0.3538 0.0000 0.7149

=====

No. 15
# HfAuS3

A relaxed structure of HfAuS3 (GGA-PBE, Alexandria via LeMat-Bulk).

Summary:
* formation energy without anion corrections: 461 meV per atom
* energy above the most stable polymorph in this dataset: 1.213 eV per atom
* mass density: 7.4 g cm⁻³
* calculated volume: 21.09 A^3/atom

a b c (Å): 4.7242 4.7242 4.7242
angles (deg): 90.00 90.00 90.00
Space group Pm-3m (No. 221)
Asymmetric unit:
Hf: 0.0000 0.0000 0.0000
Au: 0.5000 0.5000 0.5000
S: 0.0000 0.5000 0.5000

=====

No. 16
# HfAuS

A relaxed structure of HfAuS (GGA-PBE, Alexandria via LeMat-Bulk).

Summary:
* formation energy without anion corrections: -857 meV per atom
* energy above the most stable polymorph in this dataset: 0.045 eV per atom
* mass density: 11.4 g cm⁻³
* calculated volume: 19.85 A^3/atom

a b c (Å): 3.4640 5.0026 6.8720
angles (deg): 90.00 90.00 90.00
Space group Pmmn (No. 59, origin choice 2)
Asymmetric unit:
Hf: 0.2500 0.2500 0.1289
Au: 0.2500 0.7500 0.5503
S: 0.2500 0.7500 0.1488

=====

No. 17
# Hf2AuS

A relaxed structure of Hf2AuS (GGA-PBE, Alexandria via LeMat-Bulk).

Summary:
* formation energy without anion corrections: -264 meV per atom
* mass density: 9.6 g cm⁻³
* calculated volume: 25.39 A^3/atom

a b c (Å): 5.6656 5.6656 12.6538
angles (deg): 90.00 90.00 90.00
Space group I-42d (No. 122)
Asymmetric unit:
Hf: 0.2243 0.2500 0.1250
Au: 0.0000 0.0000 0.5000
S: 0.0000 0.0000 0.0000

=====

No. 18
# HfAuS

A relaxed structure of HfAuS (GGA-PBE, Alexandria via LeMat-Bulk).

Summary:
* formation energy without anion corrections: -823 meV per atom
* energy above the most stable polymorph in this dataset: 0.080 eV per atom
* mass density: 10.7 g cm⁻³
* calculated volume: 21.11 A^3/atom

a b c (Å): 3.4484 3.4484 6.1489
angles (deg): 90.00 90.00 120.00
Space group P3m1 (No. 156)
Asymmetric unit:
Hf: 0.0000 0.0000 0.0000
Au: 0.3333 0.6667 0.6720
S: 0.3333 0.6667 0.2553

=====

No. 19
# Hf2AuS

A relaxed structure of Hf2AuS (GGA-PBE, Alexandria via LeMat-Bulk).

Summary:
* formation energy without anion corrections: -823 meV per atom
* mass density: 12.7 g cm⁻³
* calculated volume: 19.16 A^3/atom

a b c (Å): 3.5566 3.5566 20.9925
angles (deg): 90.00 90.00 120.00
Space group R-3m (No. 166, hexagonal axes)
Asymmetric unit:
Hf: 0.0000 0.0000 0.2359
Au: 0.0000 0.0000 0.0000
S: 0.0000 0.0000 0.5000

=====

No. 20
# HfAuS

A relaxed structure of HfAuS (GGA-PBE, Alexandria via LeMat-Bulk).

Summary:
* formation energy without anion corrections: -856 meV per atom
* energy above the most stable polymorph in this dataset: 0.047 eV per atom
* mass density: 10.5 g cm⁻³
* calculated volume: 21.54 A^3/atom

a b c (Å): 3.5379 3.5379 17.8808
angles (deg): 90.00 90.00 120.00
Space group R3m (No. 160, hexagonal axes)
Asymmetric unit:
Hf: 0.0000 0.0000 0.0000
Au: 0.0000 0.0000 0.5597
S: 0.0000 0.0000 0.4171

=====

No. 21
# HfAuS

A relaxed structure of HfAuS (GGA-PBE, Alexandria via LeMat-Bulk).

Summary:
* formation energy without anion corrections: -820 meV per atom
* energy above the most stable polymorph in this dataset: 0.083 eV per atom
* mass density: 11.3 g cm⁻³
* calculated volume: 19.87 A^3/atom

a b c (Å): 3.1888 3.1888 5.8637
angles (deg): 90.00 90.00 90.00
Space group P4mm (No. 99)
Asymmetric unit:
Hf: 0.0000 0.0000 0.0000
Au: 0.5000 0.5000 0.3330
S: 0.5000 0.5000 0.7789

=====

No. 22
# HfAuS3

A relaxed structure of HfAuS3 (GGA-PBE, Alexandria via LeMat-Bulk).

Summary:
* formation energy without anion corrections: -752 meV per atom
* energy above the most stable polymorph in this dataset: 0.000 eV per atom
* mass density: 5.7 g cm⁻³
* calculated volume: 27.53 A^3/atom

a b c (Å): 20.0647 3.8303 7.5118
angles (deg): 90.00 107.49 90.00
Space group C2/m (No. 12)
Asymmetric unit:
Hf: 0.0949 0.0000 0.4389
Au: 0.0735 0.5000 0.9428
S: 0.0358 0.0000 0.7129
S: 0.1228 0.0000 0.1398
S: 0.1641 0.5000 0.5685

=====

No. 23
# HfAuS3

A relaxed structure of HfAuS3 (GGA-PBE, Alexandria via LeMat-Bulk).

Summary:
* formation energy without anion corrections: -199 meV per atom
* energy above the most stable polymorph in this dataset: 0.553 eV per atom
* mass density: 6.6 g cm⁻³
* calculated volume: 23.83 A^3/atom

a b c (Å): 4.9208 4.9208 4.9208
angles (deg): 90.00 90.00 90.00
Space group Pm-3m (No. 221)
Asymmetric unit:
Hf: 0.0000 0.0000 0.0000
Au: 0.5000 0.5000 0.5000
S: 0.0000 0.0000 0.5000

=====

No. 24
# Hf3AuS

A relaxed structure of Hf3AuS (GGA-PBE, Alexandria via LeMat-Bulk).

Summary:
* formation energy without anion corrections: -375 meV per atom
* energy above the most stable polymorph in this dataset: 0.000 eV per atom
* mass density: 12.2 g cm⁻³
* calculated volume: 20.89 A^3/atom

a b c (Å): 4.7098 4.7098 4.7098
angles (deg): 90.00 90.00 90.00
Space group Pm-3m (No. 221)
Asymmetric unit:
Hf: 0.0000 0.0000 0.5000
Au: 0.5000 0.5000 0.5000
S: 0.0000 0.0000 0.0000

=====

No. 25
# HfAuS

A relaxed structure of HfAuS (GGA-PBE, Alexandria via LeMat-Bulk).

Summary:
* formation energy without anion corrections: -852 meV per atom
* energy above the most stable polymorph in this dataset: 0.050 eV per atom
* mass density: 10.8 g cm⁻³
* calculated volume: 20.79 A^3/atom

a b c (Å): 11.6851 3.6103 6.6177
angles (deg): 90.00 116.66 90.00
Space group C2/m (No. 12)
Asymmetric unit:
Hf: 0.0000 0.0000 0.0000
Hf: 0.0000 0.5000 0.5000
Au: 0.1731 0.0000 0.8128
S: 0.1291 0.5000 0.2830

=====

No. 26
# HfAuS

A relaxed structure of HfAuS (GGA-PBE, Alexandria via LeMat-Bulk).

Summary:
* formation energy without anion corrections: -832 meV per atom
* energy above the most stable polymorph in this dataset: 0.070 eV per atom
* mass density: 11.4 g cm⁻³
* calculated volume: 19.76 A^3/atom

a b c (Å): 12.4812 3.3500 5.6952
angles (deg): 90.00 95.31 90.00
Space group Cm (No. 8)
Asymmetric unit:
Hf: 0.0000 0.0000 0.0000
Hf: 0.2456 0.0000 0.1504
Au: 0.0957 0.5000 0.3969
Au: 0.3931 0.5000 0.4132
S: 0.1381 0.5000 0.8519
S: 0.3645 0.0000 0.8177